VASP calculation (GGA+U) on a relaxed structure of CaNiO.

```
CaNiO
1.0
3.597 0.000 0.000
0.000 3.491 3.517
0.000 -3.491 3.517
Ca Ni O
2 2 2
Cartesian
0.000 -1.963 3.517 Ca
0.000 1.963 3.517 Ca
1.799 0.000 2.251 Ni
1.799 0.000 4.738 Ni
0.000 0.000 5.041 O
1.799 0.000 0.432 O
```

## Properties
Energy (eV/f.u.): -12.85
ρ (g/cm³): 4.3
Spin magnetization (μB/f.u.): 0.00